Crystalline CsCd3Pt at its relaxed geometry, computed with PBE.

Output
- offset from the most stable computed form (meV/atom) = 0.0
- calculated density (g/cm³) = 7.10
- DFT total energy (eV/cell) = -10.850
- spin magnetization (μB per atom) = 0.001

Unit cell a=5.379 b=5.379 c=5.379 alpha=90.00 beta=90.00 gamma=90.00
Positions (direct):
Cd 0.500 0.500 0.000
Cd 0.500 0.000 0.500
Cd 0.000 0.500 0.500
Cs 0.000 0.000 0.000
Pt 0.500 0.500 0.500